No. 1
PBE Os3Br, optimized geometry; N(E_F) = 14.805 states/eV/cell; calculated volume = 16.19 Å³ per atom; E_form (uncorrected) = 33.09 kcal/mol of atoms; space-group type = Cmcm; excess energy over the best structure of this formula in the dataset = 672 meV/atom; energy = -7.41 eV per atom
1.0
5.696 0.000 0.000
0.000 10.247 0.000
0.000 0.000 4.438
Os Br
12 4
direct
0.000 0.183 0.250
0.000 0.817 0.750
0.224 0.109 0.750
0.224 0.891 0.250
0.276 0.391 0.250
0.276 0.609 0.750
0.500 0.317 0.750
0.500 0.683 0.250
0.724 0.391 0.250
0.724 0.609 0.750
0.776 0.109 0.750
0.776 0.891 0.250
0.000 0.402 0.750
0.000 0.598 0.250
0.500 0.098 0.250
0.500 0.902 0.750

***

No. 2
PBE OsBr3, optimized geometry; N(E_F) = 7.252 states/eV/cell; calculated volume = 25.72 Å³ per atom; E_form (uncorrected) = 14.20 kcal/mol of atoms; space-group type = Cmmm; energy = -3.45 eV per atom
1.0
3.056 0.000 0.000
0.000 6.076 0.000
0.000 0.000 11.080
Os Br
2 6
direct
0.000 0.000 0.000
0.500 0.500 0.000
0.000 0.000 0.500
0.000 0.500 0.179
0.000 0.500 0.821
0.500 0.000 0.179
0.500 0.000 0.821
0.500 0.500 0.500

***

No. 3
PBE Os5Br, optimized geometry; N(E_F) = 4.957 states/eV/cell; calculated volume = 15.27 Å³ per atom; E_form (uncorrected) = 22.13 kcal/mol of atoms; space-group type = P-62m; excess energy over the best structure of this formula in the dataset = 203 meV/atom; energy = -8.68 eV per atom
1.0
4.866 0.000 0.000
-2.433 4.214 0.000
0.000 0.000 4.469
Os Br
5 1
direct
0.000 0.631 0.000
0.333 0.667 0.500
0.369 0.369 0.000
0.631 0.000 0.000
0.667 0.333 0.500
0.000 0.000 0.500

***

No. 4
PBE OsBr, optimized geometry; N(E_F) = 2.232 states/eV/cell; calculated volume = 19.84 Å³ per atom; E_form (uncorrected) = 18.08 kcal/mol of atoms; space-group type = P-3m1; excess energy over the best structure of this formula in the dataset = 374 meV/atom; energy = -5.67 eV per atom
1.0
3.040 0.000 0.000
-1.520 2.633 0.000
0.000 0.000 9.915
Os Br
2 2
direct
0.333 0.667 0.097
0.667 0.333 0.903
0.333 0.667 0.689
0.667 0.333 0.311

***

No. 5
PBE OsBr, optimized geometry; N(E_F) = 6.759 states/eV/cell; calculated volume = 23.86 Å³ per atom; E_form (uncorrected) = 20.26 kcal/mol of atoms; space-group type = Imma; excess energy over the best structure of this formula in the dataset = 469 meV/atom; energy = -5.57 eV per atom
1.0
3.049 0.000 0.000
0.000 3.481 0.000
0.000 0.000 17.986
Os Br
4 4
direct
0.000 0.250 0.043
0.000 0.750 0.957
0.500 0.250 0.457
0.500 0.750 0.543
0.000 0.250 0.644
0.000 0.750 0.356
0.500 0.250 0.856
0.500 0.750 0.144

***

No. 6
PBE OsBr3, optimized geometry; N(E_F) = 4.903 states/eV/cell; calculated volume = 23.74 Å³ per atom; E_form (uncorrected) = 18.28 kcal/mol of atoms; space-group type = P-6m2; energy = -3.27 eV per atom
1.0
3.613 0.000 0.000
-1.807 3.129 0.000
0.000 0.000 8.399
Os Br
1 3
direct
0.000 0.000 0.000
0.000 0.000 0.500
0.333 0.667 0.188
0.333 0.667 0.812

***

No. 7
PBE Os3Br, optimized geometry; N(E_F) = 3.828 states/eV/cell; calculated volume = 15.68 Å³ per atom; E_form (uncorrected) = 17.60 kcal/mol of atoms; space-group type = P-6m2; excess energy over the best structure of this formula in the dataset = 0 meV/atom; energy = -8.08 eV per atom
1.0
2.867 0.000 0.000
-1.433 2.483 0.000
0.000 0.000 8.813
Os Br
3 1
direct
0.000 0.000 0.000
0.667 0.333 0.232
0.667 0.333 0.768
0.000 0.000 0.500

***

No. 8
PBE OsBr, optimized geometry; N(E_F) = 5.043 states/eV/cell; calculated volume = 24.55 Å³ per atom; E_form (uncorrected) = 9.45 kcal/mol of atoms; space-group type = C2/m; excess energy over the best structure of this formula in the dataset = 0 meV/atom; energy = -6.04 eV per atom
1.0
6.327 0.000 0.000
0.000 3.603 0.000
-1.364 0.000 8.617
Os Br
4 4
direct
0.180 0.000 0.067
0.320 0.500 0.933
0.680 0.500 0.067
0.820 0.000 0.933
0.111 0.500 0.291
0.389 0.000 0.709
0.611 0.000 0.291
0.889 0.500 0.709

***

No. 9
PBE OsBr, optimized geometry; N(E_F) = 7.025 states/eV/cell; calculated volume = 17.35 Å³ per atom; E_form (uncorrected) = 37.66 kcal/mol of atoms; space-group type = I4_1/amd; excess energy over the best structure of this formula in the dataset = 1223 meV/atom; energy = -4.82 eV per atom
1.0
5.086 0.000 0.000
0.000 5.086 0.000
0.000 0.000 5.366
Os Br
4 4
direct
0.000 0.250 0.375
0.000 0.750 0.625
0.500 0.250 0.125
0.500 0.750 0.875
0.000 0.250 0.875
0.000 0.750 0.125
0.500 0.250 0.625
0.500 0.750 0.375

***

No. 10
PBE Os3Br, optimized geometry; N(E_F) = 7.302 states/eV/cell; calculated volume = 19.62 Å³ per atom; E_form (uncorrected) = 21.74 kcal/mol of atoms; space-group type = Pmmn; excess energy over the best structure of this formula in the dataset = 180 meV/atom; energy = -7.90 eV per atom
1.0
4.105 0.000 0.000
0.000 5.435 0.000
0.000 0.000 7.035
Os Br
6 2
direct
0.250 0.021 0.092
0.250 0.250 0.766
0.250 0.479 0.092
0.750 0.521 0.908
0.750 0.750 0.234
0.750 0.979 0.908
0.250 0.750 0.471
0.750 0.250 0.529

***

No. 11
PBE OsBr, optimized geometry; N(E_F) = 14.662 states/eV/cell; calculated volume = 27.65 Å³ per atom; E_form (uncorrected) = 47.84 kcal/mol of atoms; space-group type = Pm-3n; excess energy over the best structure of this formula in the dataset = 1665 meV/atom; energy = -4.38 eV per atom
1.0
6.923 0.000 0.000
0.000 6.923 0.000
0.000 0.000 6.923
Os Br
6 6
direct
0.000 0.250 0.500
0.000 0.750 0.500
0.250 0.500 0.000
0.500 0.000 0.250
0.500 0.000 0.750
0.750 0.500 0.000
0.000 0.500 0.250
0.000 0.500 0.750
0.250 0.000 0.500
0.500 0.250 0.000
0.500 0.750 0.000
0.750 0.000 0.500

***

No. 12
PBE OsBr, optimized geometry; N(E_F) = 2.613 states/eV/cell; calculated volume = 18.14 Å³ per atom; E_form (uncorrected) = 31.64 kcal/mol of atoms; space-group type = P6_3mc; excess energy over the best structure of this formula in the dataset = 962 meV/atom; energy = -5.08 eV per atom
1.0
2.906 0.000 0.000
-1.453 2.517 0.000
0.000 0.000 9.922
Os Br
2 2
direct
0.333 0.667 0.000
0.667 0.333 0.500
0.333 0.667 0.765
0.667 0.333 0.265

***

No. 13
PBE OsBr, optimized geometry; N(E_F) = 3.672 states/eV/cell; calculated volume = 16.72 Å³ per atom; E_form (uncorrected) = 33.58 kcal/mol of atoms; space-group type = R-3m; excess energy over the best structure of this formula in the dataset = 1046 meV/atom; energy = -5.00 eV per atom
1.0
3.038 0.000 0.000
-1.519 2.631 0.000
0.000 0.000 12.552
Os Br
3 3
direct
0.000 0.000 0.000
0.333 0.667 0.667
0.667 0.333 0.333
0.000 0.000 0.500
0.333 0.667 0.167
0.667 0.333 0.833

***

No. 14
PBE OsBr3, optimized geometry; N(E_F) = 12.542 states/eV/cell; calculated volume = 24.39 Å³ per atom; E_form (uncorrected) = 13.08 kcal/mol of atoms; space-group type = R-3m; energy = -3.49 eV per atom
1.0
3.039 0.000 0.000
-1.519 2.632 0.000
0.000 0.000 36.589
Os Br
3 9
direct
0.000 0.000 0.000
0.333 0.667 0.667
0.667 0.333 0.333
0.000 0.000 0.065
0.000 0.000 0.500
0.000 0.000 0.935
0.333 0.667 0.167
0.333 0.667 0.602
0.333 0.667 0.731
0.667 0.333 0.269
0.667 0.333 0.398
0.667 0.333 0.833

***

No. 15
PBE OsBr3, optimized geometry; N(E_F) = 16.873 states/eV/cell; calculated volume = 28.82 Å³ per atom; E_form (uncorrected) = 14.73 kcal/mol of atoms; space-group type = I-42d; energy = -3.42 eV per atom
1.0
7.332 0.000 0.000
0.000 7.332 0.000
0.000 0.000 8.577
Os Br
4 12
direct
0.000 0.000 0.000
0.000 0.500 0.250
0.500 0.000 0.750
0.500 0.500 0.500
0.000 0.000 0.500
0.000 0.500 0.750
0.151 0.250 0.125
0.250 0.651 0.375
0.250 0.849 0.875
0.349 0.250 0.625
0.500 0.000 0.250
0.500 0.500 0.000
0.651 0.750 0.625
0.750 0.151 0.875
0.750 0.349 0.375
0.849 0.750 0.125

***

No. 16
PBE OsBr3, optimized geometry; N(E_F) = 13.222 states/eV/cell; calculated volume = 25.74 Å³ per atom; E_form (uncorrected) = 9.06 kcal/mol of atoms; space-group type = R-3m; energy = -3.67 eV per atom
1.0
3.763 0.000 0.000
-1.882 3.259 0.000
0.000 0.000 25.177
Os Br
3 9
direct
0.000 0.000 0.000
0.333 0.667 0.667
0.667 0.333 0.333
0.000 0.000 0.281
0.000 0.000 0.500
0.000 0.000 0.719
0.333 0.667 0.167
0.333 0.667 0.385
0.333 0.667 0.948
0.667 0.333 0.052
0.667 0.333 0.615
0.667 0.333 0.833

***

No. 17
PBE OsBr, optimized geometry; N(E_F) = 8.060 states/eV/cell; calculated volume = 33.40 Å³ per atom; E_form (uncorrected) = 16.75 kcal/mol of atoms; space-group type = Pmn2_1; excess energy over the best structure of this formula in the dataset = 317 meV/atom; energy = -5.73 eV per atom
1.0
9.423 0.000 0.000
0.000 8.801 0.000
0.000 0.000 4.833
Os Br
6 6
direct
0.000 0.122 0.000
0.207 0.994 0.906
0.293 0.006 0.406
0.500 0.878 0.500
0.707 0.006 0.406
0.793 0.994 0.906
0.000 0.380 0.157
0.188 0.764 0.186
0.312 0.236 0.686
0.500 0.620 0.657
0.688 0.236 0.686
0.812 0.764 0.186

***

No. 18
PBE OsBr, optimized geometry; N(E_F) = 9.207 states/eV/cell; calculated volume = 23.32 Å³ per atom; E_form (uncorrected) = 31.25 kcal/mol of atoms; space-group type = P4_2/mnm; excess energy over the best structure of this formula in the dataset = 945 meV/atom; energy = -5.10 eV per atom
1.0
7.784 0.000 0.000
0.000 7.784 0.000
0.000 0.000 3.079
Os Br
4 4
direct
0.111 0.111 0.000
0.389 0.611 0.500
0.611 0.389 0.500
0.889 0.889 0.000
0.203 0.797 0.000
0.297 0.297 0.500
0.703 0.703 0.500
0.797 0.203 0.000

***

No. 19
PBE Os3Br, optimized geometry; N(E_F) = 12.519 states/eV/cell; calculated volume = 19.25 Å³ per atom; E_form (uncorrected) = 25.51 kcal/mol of atoms; space-group type = Cmmm; excess energy over the best structure of this formula in the dataset = 343 meV/atom; energy = -7.73 eV per atom
1.0
2.750 0.000 0.000
0.000 4.669 0.000
0.000 0.000 11.993
Os Br
6 2
direct
0.000 0.000 0.000
0.000 0.500 0.188
0.000 0.500 0.812
0.500 0.000 0.188
0.500 0.000 0.812
0.500 0.500 0.000
0.000 0.000 0.500
0.500 0.500 0.500

***

No. 20
PBE OsBr, optimized geometry; N(E_F) = 3.992 states/eV/cell; calculated volume = 16.74 Å³ per atom; E_form (uncorrected) = 33.94 kcal/mol of atoms; space-group type = P6_3/mmc; excess energy over the best structure of this formula in the dataset = 1062 meV/atom; energy = -4.98 eV per atom
1.0
3.032 0.000 0.000
-1.516 2.626 0.000
0.000 0.000 8.409
Os Br
2 2
direct
0.333 0.667 0.250
0.667 0.333 0.750
0.000 0.000 0.000
0.000 0.000 0.500